DFT (PBE) results for a relaxed structure of Ca2CrCoN.

Calculated values
Density of states at the Fermi level   1.945 states/eV/atom
Density   3.650 Mg/m³
Formation energy (no corrections)   -0.051 eV per atom

Cell: 4.9886 3.7487 4.9886 Å, 90.00 90.00 90.00°
Closest atoms and distances in Å follow each position.
Fractional coordinates of all 5 atoms:
Ca  0.5000  0.0000  0.0000  2 N 2.49
Co  0.5000  0.5000  0.5000  8 Ca 3.12
Ca  0.0000  0.0000  0.5000  2 N 2.49
Cr  0.0000  0.5000  0.0000  2 N 1.87
N  0.0000  0.0000  0.0000  2 Cr 1.87

DFT (PBE) results for a relaxed structure of Ca2NbCrCo.

Calculated values
Formation energy from the elements   1.35 eV/atom
Density of states at the Fermi level   1.542 states/eV/atom
Density   3.629 Mg/m³

Cell: 5.4404 4.3901 5.4404 Å, 90.00 90.00 90.00°
Closest atoms and distances in Å follow each position.
Fractional coordinates of all 5 atoms:
Ca  0.0000  0.0000  0.5000  2 Cr 2.72
Cr  0.0000  0.0000  0.0000  2 Nb 2.20
Nb  0.0000  0.5000  0.0000  2 Cr 2.20
Ca  0.5000  0.0000  0.0000  2 Cr 2.72
Co  0.5000  0.5000  0.5000  8 Ca 3.50, 4 Nb 3.85